Density functional theory data (PBE) for a relaxed structure of Sm2PaSi3Ir4.

Uncorrected formation energy = -0.929 eV per atom

Cell: 4.195 4.195 10.806 Å, 90.00 90.00 90.00°
Fractional coordinates of all 10 atoms:
Sm: 0.000 0.500 0.226
Sm: 0.500 0.000 0.774
Pa: 0.000 0.000 0.500
Si: 0.000 0.500 0.880
Si: 0.500 0.000 0.120
Si: 0.500 0.500 0.500
Ir: 0.000 0.000 0.000
Ir: 0.000 0.500 0.656
Ir: 0.500 0.000 0.344
Ir: 0.500 0.500 0.000